Below is a relaxed structure of CeNdSb, with properties calculated at the PBE level. Values from VASP.

Cell and atoms, written as Quantum ESPRESSO input:
```
&SYSTEM
  ibrav = 0, nat = 3, ntyp = 3
/
ATOMIC_SPECIES
Sb 121.76 Sb.upf
Nd 144.24 Nd.upf
Ce 140.12 Ce.upf
CELL_PARAMETERS angstrom
-3.069 0.182 -2.772
1.029 -4.817 -1.456
-3.364 0.877 3.782
ATOMIC_POSITIONS crystal
Sb 0.355 0.333 0.667
Nd 0.599 0.667 0.333
Ce 0.046 0.000 0.000
```

Results
volume	94.6	Å³/f.u.
formation energy (no corrections)	-0.373	eV per atom
size of the total moment	1.56	μB/cell